Entry 1:
Here is a relaxed GdMg2ZnAu4 crystal from the Open Quantum Materials Database. Energies are from PBE.

Values from the calculation:
E_tot ... -3.3126 eV per atom
Space-group type ... P4/mmm

Lattice parameters (Å, degrees): 4.736 4.736 6.898 90.00 90.00 90.00
Atoms (fractional coordinates):
Au  0.500  0.000  0.227
Au  0.000  0.500  0.227
Au  0.500  0.000  0.773
Au  0.000  0.500  0.773
Gd  0.000  0.000  0.500
Mg  0.000  0.000  0.000
Mg  0.500  0.500  0.500
Zn  0.500  0.500  0.000

---

Entry 2:
Here is a relaxed GdMg2ZrAu4 crystal from the Open Quantum Materials Database. Energies are from PBE.

Values from the calculation:
E_tot ... -4.3654 eV per atom
Space-group type ... P4/mmm

Lattice parameters (Å, degrees): 4.845 4.845 6.821 90.00 90.00 90.00
Atoms (fractional coordinates):
Au  0.500  0.000  0.266
Au  0.000  0.500  0.266
Au  0.500  0.000  0.734
Au  0.000  0.500  0.734
Gd  0.000  0.000  0.000
Mg  0.500  0.500  0.000
Mg  0.000  0.000  0.500
Zr  0.500  0.500  0.500

---

Entry 3:
Here is a relaxed Gd5Mo3Au crystal from the Open Quantum Materials Database. Energies are from PBE.

Values from the calculation:
ΔH_f (0 K) ... 382 meV per atom
Space-group type ... P-62m

Lattice parameters (Å, degrees): 8.585 8.585 3.175 90.00 90.00 120.00
Atoms (fractional coordinates):
Au  0.000  0.000  0.500
Gd  0.283  0.000  0.000
Gd  0.000  0.283  0.000
Gd  0.667  0.333  0.000
Gd  0.333  0.667  0.000
Gd  0.717  0.717  0.000
Mo  0.640  0.000  0.500
Mo  0.360  0.360  0.500
Mo  0.000  0.640  0.500

---

Entry 4:
Here is a relaxed GdMoAu crystal from the Open Quantum Materials Database. Energies are from PBE.

Values from the calculation:
ΔH_f (0 K) ... 637 meV per atom
Space-group type ... F-43m

Lattice parameters (Å, degrees): 4.674 4.674 4.674 60.00 60.00 60.00
Atoms (fractional coordinates):
Au  0.250  0.250  0.250
Gd  0.750  0.750  0.750
Mo  0.000  0.000  0.000

---

Entry 5:
Here is a relaxed Sm2GdAuN6 crystal from the Open Quantum Materials Database. Energies are from PBE.

Values from the calculation:
E_tot ... -7.2316 eV per atom
Space-group type ... P-1

Lattice parameters (Å, degrees): 3.840 5.822 6.619 99.14 100.00 98.51
Atoms (fractional coordinates):
Au  0.000  0.000  0.000
Gd  0.500  0.000  0.500
N  0.286  0.734  0.147
N  0.233  0.261  0.303
N  0.036  0.242  0.444
N  0.964  0.758  0.556
N  0.767  0.739  0.698
N  0.714  0.266  0.853
Sm  0.772  0.498  0.212
Sm  0.228  0.502  0.788

---

Entry 6:
Here is a relaxed SmGd2AuN6 crystal from the Open Quantum Materials Database. Energies are from PBE.

Values from the calculation:
E_tot ... -7.2404 eV per atom
Space-group type ... P-1

Lattice parameters (Å, degrees): 3.810 5.794 6.528 98.19 98.74 97.39
Atoms (fractional coordinates):
Au  0.000  0.000  0.000
Gd  0.779  0.507  0.212
Gd  0.221  0.493  0.788
N  0.289  0.730  0.140
N  0.235  0.263  0.291
N  0.047  0.256  0.443
N  0.953  0.744  0.557
N  0.765  0.737  0.709
N  0.711  0.270  0.860
Sm  0.500  0.000  0.500

---

Entry 7:
Here is a relaxed NaGdAu crystal from the Open Quantum Materials Database. Energies are from PBE.

Values from the calculation:
Distance to the lowest polymorph of the same formula ... 0.000 eV per atom
Space-group type ... F-43m

Lattice parameters (Å, degrees): 4.910 4.910 4.910 60.00 60.00 60.00
Atoms (fractional coordinates):
Au  0.000  0.000  0.000
Gd  0.250  0.250  0.250
Na  0.750  0.750  0.750

---

Entry 8:
Here is a relaxed NaGdAu crystal from the Open Quantum Materials Database. Energies are from PBE.

Values from the calculation:
Distance to the lowest polymorph of the same formula ... 0.368 eV per atom
Space-group type ... F-43m

Lattice parameters (Å, degrees): 4.920 4.920 4.920 60.00 60.00 60.00
Atoms (fractional coordinates):
Au  0.250  0.250  0.250
Gd  0.000  0.000  0.000
Na  0.750  0.750  0.750